No. 1
DFT (PBE-GGA) results for a relaxed structure of Li3Nb3TeO12.

Summary:
Raw formation energy   -40.729 eV/f.u.
Calculated volume   11.51 Å³ per atom

Cell lengths 5.2101, 5.5057, 7.6479 Å; angles 85.43, 89.75, 89.98 degrees
Closest atoms and distances in Å follow each position.
Sites, in units of the cell vectors:
Li1 0.0000 0.0000 0.0000  6 O 2.08-2.25
Li2 0.0009 0.9859 0.4890  4 O 2.02-2.26
Li3 0.5003 0.4900 0.9953  4 O 2.04-2.19
Nb1 0.9999 0.4345 0.2129  3 O 1.87-1.95
Nb2 0.4908 0.9166 0.7143  5 O 1.86-2.08
Nb3 0.5028 0.9326 0.2220  3 O 1.88-1.92
Te1 0.9993 0.4171 0.7054  6 O 1.93-1.98
O1 0.1281 0.3880 0.9419  1 Te 1.93, 1 Li 2.07
O2 0.1752 0.0847 0.2518  2 Nb 1.92-2.13, 1 Li 2.06
O3 0.1849 0.7116 0.6333  1 Te 1.93, 1 Li 2.04, 1 Nb 2.08
O4 0.2830 0.2030 0.6371  1 Nb 1.97, 1 Te 1.98
O5 0.3137 0.5928 0.2350  1 Nb 1.87
O6 0.3810 0.8944 0.9470  1 Nb 1.86
O7 0.6271 0.9094 0.4526  1 Nb 1.88, 1 Li 2.02
O8 0.6936 0.2120 0.1303  2 Nb 1.92-2.14, 1 Li 2.04
O9 0.6967 0.5955 0.7662  1 Te 1.93, 1 Li 2.07, 1 Nb 2.08
O10 0.8028 0.7128 0.1339  2 Nb 1.90-2.12, 1 Li 2.08
O11 0.8120 0.1071 0.7575  1 Te 1.98, 1 Nb 2.02, 1 Li 2.14
O12 0.8928 0.4000 0.4589  1 Nb 1.95, 1 Te 1.98

***

No. 2
DFT (PBE-GGA) results for a relaxed structure of Li4NbTe3O12.

Summary:
Raw formation energy   -31.652 eV/f.u.
Calculated volume   12.12 Å³ per atom
Excess energy over the best structure of this formula in the dataset   5 meV per atom

Cell lengths 5.0679, 8.9599, 5.3373 Å; angles 90.00, 91.19, 90.00 degrees
Closest atoms and distances in Å follow each position.
Sites, in units of the cell vectors:
Li1 0.0000 0.0000 0.0000  2 O 2.01
Li2 0.0000 0.3509 0.5000  2 O 1.97
Li3 0.5000 0.5074 0.5000  2 O 1.97
Li4 0.5000 0.8868 0.0000  4 O 2.05-2.29
Nb1 0.5000 0.0902 0.5000  6 O 2.01-2.08
Te1 0.0000 0.5918 0.0000  6 O 2.15-2.24
Te2 0.0000 0.7864 0.5000  6 O 1.95-1.97
Te3 0.5000 0.2771 0.0000  6 O 2.00-2.13
O1 0.1999 0.7743 0.8191  2 Te 1.97-2.16, 1 Li 2.05
O2 0.2132 0.6276 0.3470  1 Li 1.97, 2 Te 1.97-2.15
O3 0.2348 0.9339 0.3549  1 Te 1.95, 1 Nb 2.08
O4 0.2710 0.4269 0.8227  2 Te 2.00-2.24, 1 Li 2.22
O5 0.2895 0.2520 0.3244  1 Li 1.97, 1 Nb 2.02, 1 Te 2.06
O6 0.3044 0.0931 0.8228  1 Nb 2.01, 1 Li 2.01, 1 Te 2.13
O7 0.6956 0.0931 0.1772  1 Nb 2.01, 1 Li 2.01, 1 Te 2.13
O8 0.7105 0.2520 0.6756  1 Li 1.97, 1 Nb 2.02, 1 Te 2.06
O9 0.7290 0.4269 0.1773  2 Te 2.00-2.24, 1 Li 2.22
O10 0.7652 0.9339 0.6451  1 Te 1.95, 1 Nb 2.08
O11 0.7868 0.6276 0.6530  1 Li 1.97, 2 Te 1.97-2.15
O12 0.8001 0.7743 0.1809  2 Te 1.97-2.16, 1 Li 2.05

***

No. 3
DFT (PBE-GGA) results for a relaxed structure of Li7Zr3NbTe4O24.

Summary:
Raw formation energy   -78.064 eV/f.u.
Calculated volume   11.34 Å³ per atom

Cell lengths 18.8472, 18.8472, 18.8472 Å; angles 15.98, 15.98, 15.98 degrees
Closest atoms and distances in Å follow each position.
Sites, in units of the cell vectors:
Li1 0.0000 0.0000 0.0000  3 O 2.03
Li2 0.1194 0.1194 0.1194  3 O 2.03
Li3 0.2477 0.2477 0.2477  3 O 2.03
Li4 0.3705 0.3705 0.3705  3 O 2.06
Li5 0.4976 0.4976 0.4976  3 O 2.02
Li6 0.6201 0.6201 0.6201  3 O 2.03
Li7 0.8696 0.8696 0.8696  3 O 2.03
Zr1 0.3168 0.3168 0.3168  6 O 2.07-2.16
Zr2 0.5664 0.5664 0.5664  6 O 2.08-2.16
Zr3 0.8158 0.8158 0.8158  6 O 2.08-2.15
Nb1 0.0673 0.0673 0.0673  6 O 2.01
Te1 0.1922 0.1922 0.1922  6 O 1.94-1.96
Te2 0.4417 0.4417 0.4417  6 O 1.93-1.95
Te3 0.6936 0.6936 0.6936  6 O 1.93-1.97
Te4 0.9429 0.9429 0.9429  6 O 1.94-1.96
O1 0.0045 0.3883 0.6321  1 Te 1.93, 1 Li 2.03, 1 Zr 2.16
O2 0.1357 0.5015 0.8832  1 Te 1.94, 1 Li 2.02, 1 Zr 2.15
O3 0.1558 0.3538 0.7586  1 Te 1.93, 1 Nb 2.01
O4 0.1571 0.7451 0.4871  1 Te 1.95, 1 Li 2.03, 1 Zr 2.08
O5 0.2353 0.9077 0.4982  1 Te 1.96, 1 Li 2.03, 1 Zr 2.08
O6 0.2495 0.9850 0.6587  1 Te 1.96, 1 Li 2.03, 1 Zr 2.07
O7 0.2526 0.6334 0.8866  1 Te 1.94, 1 Li 2.03, 1 Zr 2.16
O8 0.3538 0.7586 0.1558  1 Te 1.93, 1 Nb 2.01
O9 0.3883 0.6321 0.0045  1 Te 1.93, 1 Li 2.03, 1 Zr 2.16
O10 0.3894 0.9993 0.7536  1 Te 1.97, 1 Nb 2.01, 1 Li 2.06
O11 0.4871 0.1571 0.7451  1 Te 1.95, 1 Li 2.03, 1 Zr 2.08
O12 0.4982 0.2353 0.9077  1 Te 1.96, 1 Li 2.03, 1 Zr 2.08
O13 0.5015 0.8832 0.1357  1 Te 1.94, 1 Li 2.02, 1 Zr 2.15
O14 0.6321 0.0045 0.3883  1 Te 1.93, 1 Li 2.03, 1 Zr 2.16
O15 0.6334 0.8866 0.2527  1 Te 1.94, 1 Li 2.03, 1 Zr 2.16
O16 0.6587 0.2495 0.9850  1 Te 1.96, 1 Li 2.03, 1 Zr 2.07
O17 0.7451 0.4871 0.1571  1 Te 1.95, 1 Li 2.03, 1 Zr 2.08
O18 0.7536 0.3894 0.9993  1 Te 1.97, 1 Nb 2.01, 1 Li 2.06
O19 0.7586 0.1558 0.3538  1 Te 1.93, 1 Nb 2.01
O20 0.8832 0.1357 0.5015  1 Te 1.94, 1 Li 2.02, 1 Zr 2.15
O21 0.8866 0.2527 0.6334  1 Te 1.94, 1 Li 2.03, 1 Zr 2.16
O22 0.9077 0.4982 0.2353  1 Te 1.96, 1 Li 2.03, 1 Zr 2.08
O23 0.9850 0.6587 0.2495  1 Te 1.96, 1 Li 2.03, 1 Zr 2.07
O24 0.9993 0.7536 0.3894  1 Te 1.97, 1 Nb 2.01, 1 Li 2.06

***

No. 4
DFT (PBE-GGA) results for a relaxed structure of Li4Ti5Nb3O16.

Summary:
Raw formation energy   -72.281 eV/f.u.
Calculated volume   10.90 Å³ per atom

Cell lengths 5.9731, 5.9731, 9.8982 Å; angles 90.59, 90.59, 59.79 degrees
Closest atoms and distances in Å follow each position.
Sites, in units of the cell vectors:
Li1 0.0000 0.0000 0.0000  3 O 1.81-1.97
Li2 0.0136 0.0136 0.4921  2 O 1.79-2.00
Li3 0.3492 0.3492 0.4092  4 O 1.94-1.98
Li4 0.6894 0.6894 0.8921  4 O 1.88-2.00
Ti1 0.1974 0.6795 0.7201  6 O 1.95-2.11
Ti2 0.3395 0.3395 0.9981  5 O 1.88-2.08
Ti3 0.6795 0.1974 0.7201  6 O 1.95-2.11
Ti4 0.6914 0.6914 0.4943  6 O 1.98-2.10
Ti5 0.8378 0.8378 0.2239  6 O 1.99-2.18
Nb1 0.1904 0.1904 0.7182  6 O 2.07-2.09
Nb2 0.3839 0.8191 0.2158  6 O 2.09-2.25
Nb3 0.8191 0.3839 0.2158  6 O 2.09-2.25
O1 0.0113 0.0113 0.3114  1 Li 1.79, 1 Ti 1.99
O2 0.0146 0.0146 0.8178  1 Li 1.81, 2 Ti 1.98
O3 0.0623 0.5074 0.8460  1 Li 1.98, 2 Ti 2.04-2.08, 1 Nb 2.07
O4 0.1818 0.1818 0.0910  1 Ti 1.88, 1 Li 2.08
O5 0.1854 0.6718 0.0992  1 Li 1.97, 2 Ti 1.98-2.18, 1 Nb 2.12
O6 0.3522 0.8546 0.5995  1 Li 2.04, 2 Ti 2.04-2.10, 1 Nb 2.09
O7 0.3585 0.3585 0.6068  1 Li 1.96, 2 Ti 2.00, 1 Nb 2.07
O8 0.5030 0.5030 0.8355  2 Ti 1.95, 1 Li 2.00
O9 0.5074 0.0623 0.8460  1 Li 1.98, 2 Ti 2.04-2.08, 1 Nb 2.07
O10 0.5307 0.5307 0.3630  1 Li 1.94, 2 Nb 2.09, 1 Ti 2.10
O11 0.5349 0.9821 0.3513  1 Li 1.98, 2 Ti 2.02-2.07, 1 Nb 2.10
O12 0.6718 0.1854 0.0992  1 Li 1.97, 2 Ti 1.98-2.18, 1 Nb 2.12
O13 0.7005 0.7005 0.0817  1 Li 1.88, 1 Ti 1.99
O14 0.8536 0.8536 0.6030  3 Ti 1.98-2.11, 1 Li 2.00
O15 0.8546 0.3522 0.5995  1 Li 2.04, 2 Ti 2.04-2.10, 1 Nb 2.09
O16 0.9821 0.5349 0.3513  1 Li 1.98, 2 Ti 2.02-2.07, 1 Nb 2.10

***

No. 5
DFT (PBE-GGA) results for a relaxed structure of Li4Ti3NbO8.

Summary:
Raw formation energy   -39.681 eV/f.u.
Calculated volume   9.43 Å³ per atom

Cell lengths 6.1183, 6.1183, 6.1183 Å; angles 57.04, 57.04, 57.04 degrees
Closest atoms and distances in Å follow each position.
Sites, in units of the cell vectors:
Li1 0.0000 0.0000 0.0000  6 O 2.09
Li2 0.0000 0.5000 0.5000  6 O 2.14-2.18
Li3 0.5000 0.0000 0.5000  6 O 2.14-2.18
Li4 0.5000 0.5000 0.0000  6 O 2.14-2.18
Ti1 0.0000 0.0000 0.5000  6 O 2.05-2.09
Ti2 0.0000 0.5000 0.0000  6 O 2.05-2.09
Ti3 0.5000 0.0000 0.0000  6 O 2.05-2.09
Nb1 0.5000 0.5000 0.5000  6 O 2.14
O1 0.2408 0.7532 0.7532  2 Ti 2.09, 3 Li 2.09-2.14, 1 Nb 2.14
O2 0.2431 0.2431 0.2431  3 Ti 2.05, 3 Li 2.18
O3 0.2468 0.2468 0.7592  2 Ti 2.09, 3 Li 2.09-2.14, 1 Nb 2.14
O4 0.2468 0.7592 0.2468  2 Ti 2.09, 3 Li 2.09-2.14, 1 Nb 2.14
O5 0.7532 0.2408 0.7532  2 Ti 2.09, 3 Li 2.09-2.14, 1 Nb 2.14
O6 0.7532 0.7532 0.2408  2 Ti 2.09, 3 Li 2.09-2.14, 1 Nb 2.14
O7 0.7569 0.7569 0.7569  3 Ti 2.05, 3 Li 2.18
O8 0.7592 0.2468 0.2468  2 Ti 2.09, 3 Li 2.09-2.14, 1 Nb 2.14

***

No. 6
DFT (PBE-GGA) results for a relaxed structure of Li4Ti3Nb5O16.

Summary:
Raw formation energy   -69.000 eV/f.u.
Calculated volume   11.16 Å³ per atom

Cell lengths 6.0791, 6.0791, 9.8328 Å; angles 90.77, 90.77, 59.33 degrees
Closest atoms and distances in Å follow each position.
Sites, in units of the cell vectors:
Li1 0.0000 0.0000 0.0000  2 O 1.81-1.95
Li2 0.0182 0.0182 0.5111  4 O 1.81-2.00
Li3 0.3428 0.3428 0.9233  4 O 1.82-1.91
Li4 0.6815 0.6815 0.4022  4 O 1.95-2.06
Ti1 0.1768 0.6769 0.2255  6 O 2.00-2.13
Ti2 0.6769 0.1768 0.2255  6 O 2.00-2.13
Ti3 0.8444 0.8444 0.7297  6 O 2.00-2.16
Nb1 0.1800 0.1800 0.2203  6 O 2.06-2.11
Nb2 0.3499 0.3499 0.5056  6 O 1.97-2.17
Nb3 0.3894 0.8262 0.7358  6 O 2.09-2.31
Nb4 0.6735 0.6735 0.9692  5 O 2.08-2.23
Nb5 0.8262 0.3894 0.7358  6 O 2.09-2.31
O1 0.0081 0.5428 0.8542  1 Li 1.88, 1 Ti 2.00, 2 Nb 2.11
O2 0.0107 0.0107 0.3267  1 Li 1.81, 2 Ti 2.00
O3 0.0163 0.0163 0.8174  1 Li 1.81, 1 Ti 2.00
O4 0.0534 0.4982 0.3520  1 Li 2.01, 1 Ti 2.04, 2 Nb 2.11-2.16
O5 0.1807 0.6841 0.6034  1 Li 1.98, 1 Nb 1.99, 1 Ti 2.16
O6 0.1889 0.1889 0.6031  1 Nb 1.97, 1 Li 2.00
O7 0.3355 0.8501 0.1053  1 Li 2.03, 2 Nb 2.06-2.23, 1 Ti 2.13
O8 0.3506 0.3506 0.1177  1 Li 1.91, 2 Ti 2.00, 1 Nb 2.08
O9 0.4925 0.4925 0.3485  2 Ti 2.04, 1 Li 2.06, 1 Nb 2.17
O10 0.4982 0.0534 0.3520  1 Li 2.01, 1 Ti 2.04, 2 Nb 2.11-2.16
O11 0.5039 0.5039 0.8594  1 Li 1.82
O12 0.5428 0.0081 0.8542  1 Li 1.88, 1 Ti 2.00, 2 Nb 2.11
O13 0.6841 0.1807 0.6034  1 Li 1.98, 1 Nb 1.99, 1 Ti 2.16
O14 0.6950 0.6950 0.6004  1 Li 1.95, 1 Ti 2.01, 2 Nb 2.09
O15 0.8501 0.3355 0.1053  1 Li 2.03, 2 Nb 2.06-2.23, 1 Ti 2.13
O16 0.8514 0.8514 0.1156  1 Li 1.95, 2 Ti 2.01

***

> Look up the raw formation energy of the third one.

-78.064 eV/f.u.

***

Please write out number 5 again, unchanged.
DFT (PBE-GGA) results for a relaxed structure of Li4Ti3NbO8.

Summary:
Raw formation energy   -39.681 eV/f.u.
Calculated volume   9.43 Å³ per atom

Cell lengths 6.1183, 6.1183, 6.1183 Å; angles 57.04, 57.04, 57.04 degrees
Closest atoms and distances in Å follow each position.
Sites, in units of the cell vectors:
Li1 0.0000 0.0000 0.0000  6 O 2.09
Li2 0.0000 0.5000 0.5000  6 O 2.14-2.18
Li3 0.5000 0.0000 0.5000  6 O 2.14-2.18
Li4 0.5000 0.5000 0.0000  6 O 2.14-2.18
Ti1 0.0000 0.0000 0.5000  6 O 2.05-2.09
Ti2 0.0000 0.5000 0.0000  6 O 2.05-2.09
Ti3 0.5000 0.0000 0.0000  6 O 2.05-2.09
Nb1 0.5000 0.5000 0.5000  6 O 2.14
O1 0.2408 0.7532 0.7532  2 Ti 2.09, 3 Li 2.09-2.14, 1 Nb 2.14
O2 0.2431 0.2431 0.2431  3 Ti 2.05, 3 Li 2.18
O3 0.2468 0.2468 0.7592  2 Ti 2.09, 3 Li 2.09-2.14, 1 Nb 2.14
O4 0.2468 0.7592 0.2468  2 Ti 2.09, 3 Li 2.09-2.14, 1 Nb 2.14
O5 0.7532 0.2408 0.7532  2 Ti 2.09, 3 Li 2.09-2.14, 1 Nb 2.14
O6 0.7532 0.7532 0.2408  2 Ti 2.09, 3 Li 2.09-2.14, 1 Nb 2.14
O7 0.7569 0.7569 0.7569  3 Ti 2.05, 3 Li 2.18
O8 0.7592 0.2468 0.2468  2 Ti 2.09, 3 Li 2.09-2.14, 1 Nb 2.14

***

> Which value of calculated volume does entry 1 give?

11.51 Å³ per atom